DFT (GGA-PBE) results for crystalline Sb2SO2 at its relaxed geometry.

total energy = -5.303 eV per atom

abc: 9.241 8.854 7.067
angles: 90.00 128.19 90.00
Space group C2/c (No. 15)
Unique sites:
Sb (0.123, 0.145, 0.128)
S (0.000, 0.304, 0.750)
O (0.140, 0.059, 0.519)